[1]
A geometry-optimized La2Ni structure, computed with GGA-PBEsol.

Calculated values
DOS at the Fermi energy: 6.5 states/eV per cell
Energy: -5.763 eV per atom
Calculated density: 7.30 Mg/m³
Space-group type: No. 12
Crystal system: monoclinic

Cell and atoms, written as POSCAR:
```
La2Ni
1.0
-1.959 -0.276 -2.904
-0.121 -5.962 2.774
-5.381 2.919 3.351
La Ni
4 2
Direct
0.860 0.721 0.898
0.118 0.235 0.563
0.140 0.279 0.102
0.882 0.765 0.437
0.476 0.953 0.189
0.524 0.047 0.811
```

[2]
A geometry-optimized NaMgSc2 structure, computed with GGA-PBEsol.

Calculated values
DOS at the Fermi energy: 5.5 states/eV per cell
Energy: -3.695 eV per atom
Calculated density: 2.24 Mg/m³
Space-group type: No. 166
Crystal system: trigonal

Cell and atoms, written as POSCAR:
```
NaMgSc2
1.0
-2.342 2.035 0.175
-2.398 -0.217 -1.965
-7.337 -6.694 7.237
Sc Na Mg
2 1 1
Direct
0.917 0.917 0.249
0.083 0.083 0.751
0.500 0.500 0.500
0.000 0.000 0.000
```

[3]
A geometry-optimized Fe2Se structure, computed with GGA-PBEsol.

Calculated values
DOS at the Fermi energy: 5.5 states/eV per cell
Uncorrected formation energy: 0.136 eV/atom
Calculated density: 8.56 Mg/m³
Space-group type: No. 63
Crystal system: orthorhombic

Cell and atoms, written as POSCAR:
```
Fe2Se
1.0
-2.774 -2.133 1.284
2.415 -2.033 1.841
0.862 4.338 3.660
Fe Se
4 2
Direct
0.761 0.750 0.522
0.425 0.750 0.851
0.239 0.250 0.478
0.575 0.250 0.149
0.116 0.750 0.232
0.884 0.250 0.768
```

[4]
A geometry-optimized Rh2W structure, computed with GGA-PBEsol.

Calculated values
DOS at the Fermi energy: 1.8 states/eV per cell
Energy: -10.196 eV per atom
Calculated density: 15.15 Mg/m³
Space-group type: No. 139
Crystal system: tetragonal

Cell and atoms, written as POSCAR:
```
Rh2W
1.0
2.745 0.000 0.000
0.000 2.745 0.000
-1.372 -1.372 5.671
Rh W
2 1
Direct
0.663 0.663 0.325
0.337 0.337 0.675
0.000 0.000 0.000
```

[5]
A geometry-optimized CuSi2MoPb structure, computed with GGA-PBEsol.

Calculated values
DOS at the Fermi energy: 2.0 states/eV per cell
Uncorrected formation energy: 0.649 eV/atom
Calculated density: 6.65 Mg/m³
Space-group type: No. 123
Crystal system: tetragonal

Cell and atoms, written as POSCAR:
```
CuSi2MoPb
1.0
4.679 0.000 0.000
0.000 4.679 0.000
0.000 0.000 4.825
Pb Mo Si Cu
1 1 2 1
Direct
0.500 0.500 0.500
0.000 0.000 0.000
0.000 0.500 0.000
0.500 0.000 0.000
0.000 0.000 0.500
```

[6]
A geometry-optimized ScHg2Cl structure, computed with GGA-PBEsol.

Calculated values
DOS at the Fermi energy: 2.7 states/eV per cell
Uncorrected formation energy: -0.618 eV/atom
Calculated density: 8.97 Mg/m³
Space-group type: No. 12
Crystal system: monoclinic

Cell and atoms, written as POSCAR:
```
ScHg2Cl
1.0
-2.469 0.307 -1.869
2.158 -1.832 -3.152
-2.103 -5.298 4.498
Sc Hg Cl
1 2 1
Direct
0.000 0.500 0.000
0.694 0.694 0.387
0.306 0.306 0.613
0.500 0.000 0.000
```

[7]
A geometry-optimized Zr3CO structure, computed with GGA-PBEsol.

Calculated values
DOS at the Fermi energy: 5.6 states/eV per cell
Uncorrected formation energy: -0.234 eV/atom
Calculated density: 6.59 Mg/m³
Space-group type: No. 221
Crystal system: cubic

Cell and atoms, written as POSCAR:
```
Zr3CO
1.0
-4.219 0.177 0.345
-0.342 -3.471 -2.404
0.182 -2.422 3.471
C O Zr
1 1 3
Direct
0.500 0.500 0.500
0.000 0.000 0.000
0.000 0.500 0.000
0.000 0.000 0.500
0.500 0.000 0.000
```

[8]
A geometry-optimized Zr2TaRe structure, computed with GGA-PBEsol.

Calculated values
DOS at the Fermi energy: 3.4 states/eV per cell
Energy: -11.156 eV per atom
Calculated density: 12.23 Mg/m³
Space-group type: No. 99
Crystal system: tetragonal

Cell and atoms, written as POSCAR:
```
Zr2TaRe
1.0
-0.284 -3.086 -0.854
3.131 -0.446 0.571
-1.498 -1.756 6.842
Re Zr Ta
1 2 1
Direct
0.000 0.000 0.515
0.000 0.000 0.988
0.500 0.500 0.278
0.500 0.500 0.719
```

[9]
A geometry-optimized CuHgH3 structure, computed with GGA-PBEsol.

Calculated values
DOS at the Fermi energy: 1.2 states/eV per cell
Energy: -2.438 eV per atom
Calculated density: 9.66 Mg/m³
Space-group type: No. 221
Crystal system: cubic

Cell and atoms, written as POSCAR:
```
CuHgH3
1.0
3.581 0.000 0.000
0.000 3.581 0.000
0.000 0.000 3.581
H Hg Cu
3 1 1
Direct
0.000 0.500 0.000
0.000 0.000 0.500
0.500 0.000 0.000
0.500 0.500 0.500
0.000 0.000 0.000
```

[10]
A geometry-optimized SrLa3Os structure, computed with GGA-PBEsol.

Calculated values
DOS at the Fermi energy: 2.7 states/eV per cell
Energy: -6.035 eV per atom
Calculated density: 6.31 Mg/m³
Space-group type: No. 221
Crystal system: cubic

Cell and atoms, written as POSCAR:
```
SrLa3Os
1.0
-0.256 -4.454 3.507
4.019 -2.619 -3.033
3.999 2.347 3.273
Sr Os La
1 1 3
Direct
0.500 0.500 0.500
0.000 0.000 0.000
0.000 0.500 0.000
0.000 0.000 0.500
0.500 0.000 0.000
```

[11]
A geometry-optimized Fe2Te structure, computed with GGA-PBEsol.

Calculated values
DOS at the Fermi energy: 5.9 states/eV per cell
Uncorrected formation energy: 0.003 eV/atom
Calculated density: 7.92 Mg/m³
Space-group type: No. 164
Crystal system: trigonal

Cell and atoms, written as POSCAR:
```
Fe2Te
1.0
-0.778 3.604 1.306
-1.571 -1.244 -3.359
-5.992 -2.666 3.789
Te Fe
2 4
Direct
0.333 0.667 0.303
0.667 0.333 0.697
0.667 0.333 0.058
0.000 0.000 0.850
0.000 0.000 0.150
0.333 0.667 0.942
```

[12]
A geometry-optimized LiGa3Se structure, computed with GGA-PBEsol.

Calculated values
DOS at the Fermi energy: 2.6 states/eV per cell
Uncorrected formation energy: 0.172 eV/atom
Calculated density: 4.98 Mg/m³
Space-group type: No. 221
Crystal system: cubic

Cell and atoms, written as POSCAR:
```
LiGa3Se
1.0
4.616 0.000 0.000
0.000 4.616 0.000
0.000 0.000 4.616
Ga Se Li
3 1 1
Direct
0.000 0.500 0.000
0.000 0.000 0.500
0.500 0.000 0.000
0.500 0.500 0.500
0.000 0.000 0.000
```

[13]
A geometry-optimized BaLa2Cd structure, computed with GGA-PBEsol.

Calculated values
DOS at the Fermi energy: 4.7 states/eV per cell
Energy: -3.501 eV per atom
Calculated density: 6.71 Mg/m³
Space-group type: No. 139
Crystal system: tetragonal

Cell and atoms, written as POSCAR:
```
BaLa2Cd
1.0
5.043 0.000 0.000
0.000 5.043 0.000
-2.522 -2.522 5.133
Cd Ba La
1 1 2
Direct
0.000 0.000 0.000
0.500 0.500 0.000
0.750 0.250 0.500
0.250 0.750 0.500
```

[14]
A geometry-optimized CaRh2Br structure, computed with GGA-PBEsol.

Calculated values
DOS at the Fermi energy: 4.0 states/eV per cell
Uncorrected formation energy: 0.196 eV/atom
Calculated density: 7.75 Mg/m³
Space-group type: No. 123
Crystal system: tetragonal

Cell and atoms, written as POSCAR:
```
CaRh2Br
1.0
-0.347 -3.322 0.634
-0.500 -0.580 -3.312
5.945 -0.767 -0.762
Ca Rh Br
1 2 1
Direct
0.500 0.500 0.500
0.000 0.000 0.774
0.000 0.000 0.226
0.500 0.500 0.000
```

[15]
A geometry-optimized NiPt3Rh structure, computed with GGA-PBEsol.

Calculated values
DOS at the Fermi energy: 10.9 states/eV per cell
Energy: -5.708 eV per atom
Calculated density: 14.45 Mg/m³
Space-group type: No. 221
Crystal system: cubic

Cell and atoms, written as POSCAR:
```
NiPt3Rh
1.0
4.412 0.000 0.000
0.000 4.412 0.000
0.000 0.000 4.412
Ni Rh Pt
1 1 3
Direct
0.000 0.000 0.000
0.500 0.500 0.500
0.000 0.500 0.000
0.000 0.000 0.500
0.500 0.000 0.000
```

[16]
A geometry-optimized CaTe2Au2 structure, computed with GGA-PBEsol.

Calculated values
DOS at the Fermi energy: 1.3 states/eV per cell
Uncorrected formation energy: -0.332 eV/atom
Calculated density: 8.85 Mg/m³
Space-group type: No. 139
Crystal system: tetragonal

Cell and atoms, written as POSCAR:
```
CaTe2Au2
1.0
-1.482 3.765 2.279
-3.448 -2.488 1.868
5.998 -2.055 2.563
Ca Te Au
1 2 2
Direct
0.000 0.000 0.000
0.250 0.750 0.500
0.750 0.250 0.500
0.392 0.392 0.785
0.608 0.608 0.215
```

[17]
A geometry-optimized TaVB4 structure, computed with GGA-PBEsol.

Calculated values
DOS at the Fermi energy: 2.3 states/eV per cell
Energy: -9.142 eV per atom
Calculated density: 9.10 Mg/m³
Space-group type: No. 191
Crystal system: hexagonal

Cell and atoms, written as POSCAR:
```
TaVB4
1.0
3.043 0.000 0.000
-1.522 2.636 0.000
0.000 0.000 6.260
B Ta V
4 1 1
Direct
0.667 0.333 0.264
0.667 0.333 0.736
0.333 0.667 0.264
0.333 0.667 0.736
0.000 0.000 0.000
0.000 0.000 0.500
```

[18]
A geometry-optimized Ni5Rh structure, computed with GGA-PBEsol.

Calculated values
DOS at the Fermi energy: 8.9 states/eV per cell
Energy: -6.463 eV per atom
Calculated density: 9.98 Mg/m³
Space-group type: No. 65
Crystal system: orthorhombic

Cell and atoms, written as POSCAR:
```
Ni5Rh
1.0
-2.440 -0.115 2.557
-0.631 -3.380 -0.754
3.398 -3.159 3.101
Ni Rh
5 1
Direct
0.000 0.330 0.340
0.500 0.169 0.663
0.000 0.000 0.000
0.500 0.831 0.337
0.000 0.670 0.660
0.500 0.500 0.000
```

[19]
A geometry-optimized Ba3SmIr2O9 structure, computed with GGA-PBEsol.

Calculated values
DOS at the Fermi energy: 13.5 states/eV per cell
Uncorrected formation energy: -2.118 eV/atom
Calculated density: 8.17 Mg/m³
Space-group type: No. 194
Crystal system: hexagonal

Cell and atoms, written as POSCAR:
```
Ba3SmIr2O9
1.0
5.900 0.000 0.000
-2.950 5.109 0.000
0.000 0.000 14.711
Ba Sm Ir O
6 2 4 18
Direct
0.000 0.000 0.250
0.000 0.000 0.750
0.333 0.667 0.904
0.667 0.333 0.096
0.667 0.333 0.404
0.333 0.667 0.596
0.000 0.000 0.000
0.000 0.000 0.500
0.333 0.667 0.166
0.667 0.333 0.834
0.667 0.333 0.666
0.333 0.667 0.334
0.492 0.508 0.250
0.016 0.508 0.250
0.492 0.984 0.250
0.508 0.492 0.750
0.984 0.492 0.750
0.508 0.016 0.750
0.178 0.822 0.411
0.644 0.822 0.411
0.178 0.356 0.411
0.822 0.178 0.589
0.356 0.178 0.589
0.822 0.644 0.589
0.822 0.178 0.911
0.356 0.178 0.911
0.822 0.644 0.911
0.178 0.822 0.089
0.644 0.822 0.089
0.178 0.356 0.089
```

[20]
A geometry-optimized ReNiOs2 structure, computed with GGA-PBEsol.

Calculated values
DOS at the Fermi energy: 4.9 states/eV per cell
Energy: -10.828 eV per atom
Calculated density: 19.29 Mg/m³
Space-group type: No. 160
Crystal system: trigonal

Cell and atoms, written as POSCAR:
```
ReNiOs2
1.0
2.690 0.000 0.000
1.345 2.329 0.000
1.345 0.776 8.592
Ni Os Re
1 2 1
Direct
0.250 0.250 0.249
0.998 0.998 0.007
0.750 0.750 0.750
0.502 0.502 0.494
```

[21]
A geometry-optimized FeSbAuF2 structure, computed with GGA-PBEsol.

Calculated values
DOS at the Fermi energy: 5.8 states/eV per cell
Uncorrected formation energy: -0.030 eV/atom
Calculated density: 7.15 Mg/m³
Space-group type: No. 123
Crystal system: tetragonal

Cell and atoms, written as POSCAR:
```
FeSbAuF2
1.0
-0.224 4.091 0.426
-0.740 0.380 -4.035
-5.547 -0.405 0.980
Sb Au Fe F
1 1 1 2
Direct
0.000 0.000 0.500
0.000 0.000 0.000
0.500 0.500 0.500
0.000 0.500 0.000
0.500 0.000 0.000
```

[22]
A geometry-optimized FeSb3 structure, computed with GGA-PBEsol.

Calculated values
DOS at the Fermi energy: 4.6 states/eV per cell
Uncorrected formation energy: 0.546 eV/atom
Calculated density: 7.82 Mg/m³
Space-group type: No. 65
Crystal system: orthorhombic

Cell and atoms, written as POSCAR:
```
FeSb3
1.0
-1.468 1.303 -3.057
-3.632 -3.441 0.277
-2.021 3.787 2.585
Fe Sb
1 3
Direct
0.000 0.000 0.000
0.500 0.000 0.500
0.500 0.500 0.000
0.000 0.500 0.500
```

[23]
A geometry-optimized V2ZnP2O9 structure, computed with GGA-PBEsol.

Calculated values
DOS at the Fermi energy: 27.1 states/eV per cell
Uncorrected formation energy: -2.100 eV/atom
Calculated density: 3.89 Mg/m³
Space-group type: No. 62
Crystal system: orthorhombic

Cell and atoms, written as POSCAR:
```
V2ZnP2O9
1.0
-2.249 -3.455 -4.620
1.828 -6.094 3.667
-12.588 -0.061 6.173
V Zn P O
8 4 8 36
Direct
0.750 0.850 0.881
0.250 0.150 0.119
0.250 0.350 0.619
0.750 0.650 0.381
0.500 0.500 0.000
0.500 0.000 0.500
0.000 0.000 0.500
0.000 0.500 0.000
0.750 0.433 0.773
0.750 0.067 0.273
0.250 0.933 0.727
0.250 0.567 0.227
0.250 0.862 0.929
0.750 0.138 0.071
0.750 0.362 0.571
0.250 0.638 0.429
0.750 0.886 0.695
0.750 0.614 0.195
0.250 0.386 0.805
0.250 0.114 0.305
0.036 0.105 0.364
0.536 0.895 0.636
0.964 0.605 0.136
0.464 0.395 0.864
0.964 0.895 0.636
0.464 0.105 0.364
0.036 0.395 0.864
0.536 0.605 0.136
0.250 0.831 0.475
0.750 0.169 0.525
0.750 0.331 0.025
0.250 0.669 0.975
0.750 0.638 0.950
0.250 0.362 0.050
0.250 0.138 0.550
0.750 0.862 0.450
0.750 0.705 0.755
0.250 0.295 0.245
0.250 0.205 0.745
0.750 0.795 0.255
0.440 0.624 0.358
0.940 0.376 0.642
0.560 0.124 0.142
0.060 0.876 0.858
0.560 0.376 0.642
0.060 0.624 0.358
0.440 0.876 0.858
0.940 0.124 0.142
0.750 0.999 0.993
0.250 0.537 0.729
0.250 0.963 0.229
0.750 0.037 0.771
0.750 0.501 0.493
0.250 0.499 0.507
0.250 0.001 0.007
0.750 0.463 0.271
```

[24]
A geometry-optimized Ta2BeIr structure, computed with GGA-PBEsol.

Calculated values
DOS at the Fermi energy: 3.4 states/eV per cell
Energy: -10.039 eV per atom
Calculated density: 16.20 Mg/m³
Space-group type: No. 99
Crystal system: tetragonal

Cell and atoms, written as POSCAR:
```
Ta2BeIr
1.0
-0.546 -1.880 -2.090
2.793 -0.605 -0.185
-0.786 -5.094 4.788
Be Ir Ta
1 1 2
Direct
0.000 0.000 0.539
0.500 0.500 0.705
0.000 0.000 0.969
0.500 0.500 0.287
```

[25]
A geometry-optimized HfRhSe2N structure, computed with GGA-PBEsol.

Calculated values
DOS at the Fermi energy: 3.4 states/eV per cell
Uncorrected formation energy: 0.094 eV/atom
Calculated density: 8.45 Mg/m³
Space-group type: No. 123
Crystal system: tetragonal

Cell and atoms, written as POSCAR:
```
HfRhSe2N
1.0
-0.408 3.543 0.281
-2.340 0.080 -4.407
-4.371 -0.686 2.308
Rh Hf Se N
1 1 2 1
Direct
0.000 0.000 0.000
0.500 0.500 0.500
0.000 0.000 0.500
0.000 0.500 0.000
0.500 0.000 0.000
```